Arrangement i

Below is an optimized crystal structure of LiCu2F5, with properties calculated at the GGA-PBEsol level.

Calculated values
Symmetry: No. 62
M_tot in μB/f.u.: 2.0
Mass density in g cm⁻³: 3.861

abc: 12.8465 10.0257 3.0588
angles: 90.00 90.00 90.00
Fractional coordinates of all 32 atoms:
Li 0.2393 0.2500 0.1158
Li 0.2607 0.7500 0.6158
Li 0.7393 0.2500 0.3842
Li 0.7607 0.7500 0.8842
Cu 0.0779 0.0899 0.6797
Cu 0.0779 0.4101 0.6797
Cu 0.4221 0.5899 0.1797
Cu 0.4221 0.9101 0.1797
Cu 0.5779 0.0899 0.8203
Cu 0.5779 0.4101 0.8203
Cu 0.9221 0.5899 0.3203
Cu 0.9221 0.9101 0.3203
F 0.0675 0.2500 0.0434
F 0.0689 0.5597 0.2816
F 0.0689 0.9403 0.2816
F 0.2174 0.1240 0.6114
F 0.2174 0.3760 0.6114
F 0.2826 0.6240 0.1114
F 0.2826 0.8760 0.1114
F 0.4311 0.0597 0.7816
F 0.4311 0.4403 0.7816
F 0.4325 0.7500 0.5434
F 0.5675 0.2500 0.4566
F 0.5689 0.5597 0.2184
F 0.5689 0.9403 0.2184
F 0.7174 0.1240 0.8886
F 0.7174 0.3760 0.8886
F 0.7826 0.6240 0.3886
F 0.7826 0.8760 0.3886
F 0.9311 0.0597 0.7184
F 0.9311 0.4403 0.7184
F 0.9325 0.7500 0.9566

Arrangement ii

Below is an optimized crystal structure of LiCu2F5, with properties calculated at the GGA-PBEsol level.

Calculated values
Symmetry: No. 63
M_tot in μB/f.u.: 2.0
Mass density in g cm⁻³: 4.026

abc: 5.3633 5.3633 9.6912
angles: 90.00 90.00 137.34
Fractional coordinates of all 16 atoms:
Li 0.1927 0.8073 0.7500
Li 0.8073 0.1927 0.2500
Cu 0.1389 0.8611 0.0677
Cu 0.1389 0.8611 0.4323
Cu 0.8611 0.1389 0.5677
Cu 0.8611 0.1389 0.9323
F 0.0602 0.9398 0.6134
F 0.0602 0.9398 0.8866
F 0.2246 0.7754 0.2500
F 0.3220 0.6780 0.5647
F 0.3220 0.6780 0.9353
F 0.6780 0.3220 0.0647
F 0.6780 0.3220 0.4353
F 0.7754 0.2246 0.7500
F 0.9398 0.0602 0.1134
F 0.9398 0.0602 0.3866

Stability, descending: arrangement ii, arrangement i

Arrangement i

Below is an optimized crystal structure of Li5CuF8, with properties calculated at the GGA-PBEsol level.

Calculated values
Symmetry: No. 65
M_tot in μB/f.u.: 2.0
Mass density in g cm⁻³: 3.082

abc: 4.9774 4.9774 5.8012
angles: 90.00 90.00 110.26
Fractional coordinates of all 14 atoms:
Li 0.0000 0.0000 0.0000
Li 0.0000 0.5000 0.2294
Li 0.0000 0.5000 0.7706
Li 0.5000 0.0000 0.2294
Li 0.5000 0.0000 0.7706
Cu 0.0000 0.0000 0.5000
F 0.2273 0.2273 0.2617
F 0.2273 0.2273 0.7383
F 0.2330 0.7670 0.5000
F 0.2358 0.7642 0.0000
F 0.7642 0.2358 0.0000
F 0.7670 0.2330 0.5000
F 0.7727 0.7727 0.2617
F 0.7727 0.7727 0.7383

Arrangement ii

Below is an optimized crystal structure of Li5CuF8, with properties calculated at the GGA-PBEsol level.

Calculated values
Symmetry: No. 166
M_tot in μB/f.u.: 1.9
Mass density in g cm⁻³: 3.033

abc: 5.8604 5.8604 5.8604
angles: 58.37 58.37 58.37
Fractional coordinates of all 14 atoms:
Li 0.0000 0.5000 0.5000
Li 0.1433 0.1433 0.1433
Li 0.5000 0.0000 0.5000
Li 0.5000 0.5000 0.0000
Li 0.8567 0.8567 0.8567
Cu 0.5000 0.5000 0.5000
F 0.2664 0.7323 0.7323
F 0.2676 0.2676 0.2676
F 0.2677 0.2677 0.7336
F 0.2677 0.7336 0.2677
F 0.7323 0.2664 0.7323
F 0.7323 0.7323 0.2664
F 0.7324 0.7324 0.7324
F 0.7336 0.2677 0.2677

Stability, descending: arrangement ii, arrangement i

Arrangement i

Below is an optimized crystal structure of CuNF2, with properties calculated at the GGA-PBEsol level.

Calculated values
Symmetry: No. 225
M_tot in μB/f.u.: 2.0
Mass density in g cm⁻³: 5.100

abc: 3.7612 3.7612 3.7612
angles: 60.00 60.00 60.00
Fractional coordinates of all 4 atoms:
Cu 0.0000 0.0000 0.0000
N 0.5000 0.5000 0.5000
F 0.2500 0.2500 0.2500
F 0.7500 0.7500 0.7500

Arrangement ii

Below is an optimized crystal structure of CuNF2, with properties calculated at the GGA-PBEsol level.

Calculated values
Symmetry: No. 166
M_tot in μB/f.u.: 0.0
Mass density in g cm⁻³: 4.842

abc: 6.6631 6.6631 6.6631
angles: 23.00 23.00 23.00
Fractional coordinates of all 4 atoms:
Cu 0.0000 0.0000 0.0000
N 0.5000 0.5000 0.5000
F 0.4087 0.4087 0.4087
F 0.5913 0.5913 0.5913

Stability, descending: arrangement ii, arrangement i

Arrangement i

Below is an optimized crystal structure of CuOs3F, with properties calculated at the GGA-PBEsol level.

Calculated values
Symmetry: No. 221
M_tot in μB/f.u.: 1.7
Mass density in g cm⁻³: 15.471

abc: 4.1235 4.1235 4.1235
angles: 90.00 90.00 90.00
Fractional coordinates of all 5 atoms:
Cu 0.0000 0.0000 0.0000
Os 0.0000 0.5000 0.5000
Os 0.5000 0.0000 0.5000
Os 0.5000 0.5000 0.0000
F 0.5000 0.5000 0.5000

Arrangement ii

Below is an optimized crystal structure of CuOs3F, with properties calculated at the GGA-PBEsol level.

Calculated values
Symmetry: No. 221
M_tot in μB/f.u.: 4.1
Mass density in g cm⁻³: 12.369

abc: 4.4428 4.4428 4.4428
angles: 90.00 90.00 90.00
Fractional coordinates of all 5 atoms:
Cu 0.0000 0.0000 0.0000
Os 0.0000 0.0000 0.5000
Os 0.0000 0.5000 0.0000
Os 0.5000 0.0000 0.0000
F 0.5000 0.5000 0.5000

Stability, descending: arrangement i, arrangement ii

Arrangement i

Below is an optimized crystal structure of FeCuIr2, with properties calculated at the GGA-PBEsol level.

Calculated values
Symmetry: No. 216
M_tot in μB/f.u.: 2.9
Mass density in g cm⁻³: 15.921

abc: 4.2043 4.2043 4.2043
angles: 60.00 60.00 60.00
Fractional coordinates of all 4 atoms:
Fe 0.0000 0.0000 0.0000
Cu 0.7500 0.7500 0.7500
Ir 0.2500 0.2500 0.2500
Ir 0.5000 0.5000 0.5000

Arrangement ii

Below is an optimized crystal structure of FeCuIr2, with properties calculated at the GGA-PBEsol level.

Calculated values
Symmetry: No. 166
M_tot in μB/f.u.: 2.5
Mass density in g cm⁻³: 16.262

abc: 8.5185 8.5185 8.5185
angles: 17.98 17.98 17.98
Fractional coordinates of all 4 atoms:
Fe 0.0000 0.0000 0.0000
Cu 0.5000 0.5000 0.5000
Ir 0.2522 0.2522 0.2522
Ir 0.7478 0.7478 0.7478

Arrangement iii

Below is an optimized crystal structure of FeCuIr2, with properties calculated at the GGA-PBEsol level.

Calculated values
Symmetry: No. 8
M_tot in μB/f.u.: 2.5
Mass density in g cm⁻³: 16.328

abc: 4.5851 4.5851 4.4414
angles: 99.90 99.90 33.91
Fractional coordinates of all 4 atoms:
Fe 0.0000 0.0000 0.0000
Cu 0.7520 0.7520 0.2400
Ir 0.2521 0.2521 0.7452
Ir 0.5053 0.5053 0.5026

Arrangement iv

Below is an optimized crystal structure of FeCuIr2, with properties calculated at the GGA-PBEsol level.

Calculated values
Symmetry: No. 12
M_tot in μB/f.u.: 2.9
Mass density in g cm⁻³: 16.204

abc: 4.4737 4.4737 4.6202
angles: 100.21 100.21 34.63
Fractional coordinates of all 4 atoms:
Fe 0.0000 0.0000 0.0000
Cu 0.5000 0.5000 0.5000
Ir 0.2560 0.2560 0.7532
Ir 0.7440 0.7440 0.2468

Stability, descending: arrangement ii, arrangement iv, arrangement iii, arrangement i

Arrangement i

Below is an optimized crystal structure of Li2Fe3CuO8, with properties calculated at the GGA-PBEsol level.

Calculated values
Symmetry: No. 166
M_tot in μB/f.u.: 6.6
Mass density in g cm⁻³: 4.763

abc: 5.8121 5.8121 5.8121
angles: 57.24 57.24 57.24
Fractional coordinates of all 14 atoms:
Li 0.1252 0.1252 0.1252
Li 0.8748 0.8748 0.8748
Fe 0.0000 0.5000 0.5000
Fe 0.5000 0.0000 0.5000
Fe 0.5000 0.5000 0.0000
Cu 0.5000 0.5000 0.5000
O 0.2528 0.2528 0.7116
O 0.2528 0.7116 0.2528
O 0.2636 0.2636 0.2636
O 0.2884 0.7472 0.7472
O 0.7116 0.2528 0.2528
O 0.7364 0.7364 0.7364
O 0.7472 0.2884 0.7472
O 0.7472 0.7472 0.2884

Arrangement ii

Below is an optimized crystal structure of Li2Fe3CuO8, with properties calculated at the GGA-PBEsol level.

Calculated values
Symmetry: No. 212
M_tot in μB/f.u.: 7.0
Mass density in g cm⁻³: 4.747

abc: 8.0509 8.0509 8.0509
angles: 90.00 90.00 90.00
Fractional coordinates of all 56 atoms:
Li 0.0078 0.0078 0.0078
Li 0.2422 0.2422 0.2422
Li 0.2578 0.7578 0.7422
Li 0.4922 0.9922 0.5078
Li 0.5078 0.4922 0.9922
Li 0.7422 0.2578 0.7578
Li 0.7578 0.7422 0.2578
Li 0.9922 0.5078 0.4922
Fe 0.1143 0.1357 0.6250
Fe 0.1250 0.3857 0.8643
Fe 0.1357 0.6250 0.1143
Fe 0.3643 0.3750 0.6143
Fe 0.3750 0.6143 0.3643
Fe 0.3857 0.8643 0.1250
Fe 0.6143 0.3643 0.3750
Fe 0.6250 0.1143 0.1357
Fe 0.6357 0.8750 0.8857
Fe 0.8643 0.1250 0.3857
Fe 0.8750 0.8857 0.6357
Fe 0.8857 0.6357 0.8750
Cu 0.1250 0.8750 0.3750
Cu 0.3750 0.1250 0.8750
Cu 0.6250 0.6250 0.6250
Cu 0.8750 0.3750 0.1250
O 0.0950 0.1260 0.3937
O 0.1063 0.9050 0.6260
O 0.1203 0.6203 0.8797
O 0.1240 0.1550 0.8563
O 0.1260 0.3937 0.0950
O 0.1297 0.3703 0.6297
O 0.1437 0.6240 0.3450
O 0.1550 0.8563 0.1240
O 0.3450 0.1437 0.6240
O 0.3563 0.3760 0.8450
O 0.3703 0.6297 0.1297
O 0.3740 0.6063 0.5950
O 0.3760 0.8450 0.3563
O 0.3797 0.3797 0.3797
O 0.3937 0.0950 0.1260
O 0.4050 0.8740 0.8937
O 0.5950 0.3740 0.6063
O 0.6063 0.5950 0.3740
O 0.6203 0.8797 0.1203
O 0.6240 0.3450 0.1437
O 0.6260 0.1063 0.9050
O 0.6297 0.1297 0.3703
O 0.6437 0.8760 0.6550
O 0.6550 0.6437 0.8760
O 0.8450 0.3563 0.3760
O 0.8563 0.1240 0.1550
O 0.8703 0.8703 0.8703
O 0.8740 0.8937 0.4050
O 0.8760 0.6550 0.6437
O 0.8797 0.1203 0.6203
O 0.8937 0.4050 0.8740
O 0.9050 0.6260 0.1063

Arrangement iii

Below is an optimized crystal structure of Li2Fe3CuO8, with properties calculated at the GGA-PBEsol level.

Calculated values
Symmetry: No. 12
M_tot in μB/f.u.: 4.4
Mass density in g cm⁻³: 4.772

abc: 5.5416 5.5416 5.7627
angles: 118.52 118.52 62.02
Fractional coordinates of all 14 atoms:
Li 0.0000 0.5000 0.0000
Li 0.5000 0.0000 0.0000
Fe 0.0000 0.0000 0.5000
Fe 0.0000 0.5000 0.5000
Fe 0.5000 0.0000 0.5000
Cu 0.5000 0.5000 0.5000
O 0.2211 0.7500 0.7087
O 0.2398 0.2398 0.7136
O 0.2500 0.7789 0.2913
O 0.2589 0.2589 0.2900
O 0.7411 0.7411 0.7100
O 0.7500 0.2211 0.7087
O 0.7602 0.7602 0.2864
O 0.7789 0.2500 0.2913

Stability, descending: arrangement ii, arrangement i, arrangement iii